# Be2PRu

Crystalline Be2PRu at its relaxed geometry (GGA-PBE, Alexandria).

Summary:
ΔH_f (0 K) in eV/atom: 0.248
DOS(E_F) in states/eV/atom: 0.5766
Magnetization in μB/f.u.: 0.90
Volume in Å³/atom: 11.8
Uncorrected energy in eV/atom: -5.286
Symmetry: I-42d (122)

Cell lengths 5.0372, 5.0372, 5.0372 Å; angles 103.33, 103.33, 122.61 degrees
Sites, in units of the cell vectors:
Be1 0.0852 0.6250 0.9602
Be2 0.3750 0.3352 0.4602
Be3 0.6648 0.1250 0.0398
Be4 0.8750 0.9148 0.5398
P1 0.0000 0.0000 0.0000
P2 0.7500 0.2500 0.5000
Ru1 0.2500 0.7500 0.5000
Ru2 0.5000 0.5000 0.0000